The following is a DFT calculation (PBE-GGA) of a relaxed Mn2AlCu crystal.

Energy relative to the elements: 0.3 eV/f.u.
Symmetry: P2/m, No. 10
Magnetization: 3.946 μB per formula unit
VASP energy: -6.47 eV per atom

Unit cell a=4.1910 b=2.5548 c=4.7296 alpha=79.99 beta=90.00 gamma=90.00
Sites, in units of the cell vectors:
Mn: 0.0000 0.9834 0.9969
Mn: 0.0000 0.5166 0.5031
Al: 0.5000 0.2500 0.2500
Cu: 0.5000 0.7500 0.7500